# Pa2AgPt2

A relaxed Pa2AgPt2 crystal (PBE, Alexandria).

CIF file:
```
data_Pa2AgPt2
_cell_length_a 7.7760
_cell_length_b 7.7760
_cell_length_c 3.6361
_cell_angle_alpha 90.00
_cell_angle_beta 90.00
_cell_angle_gamma 90.00
_space_group_name_H-M_alt 'P 4/m b m'
_space_group_IT_number 127
_space_group_name_Hall '-P 4 2ab'
loop_
_atom_site_label
_atom_site_type_symbol
_atom_site_fract_x
_atom_site_fract_y
_atom_site_fract_z
Pa1 Pa 0.1714 0.3286 0.0000
Ag1 Ag 0.0000 0.0000 0.5000
Pt1 Pt 0.1318 0.6318 0.5000
```

Summary:
Crystal system   tetragonal
Energy relative to the elements   -714 meV/atom

---

# PaAgPt2

A relaxed PaAgPt2 crystal (PBE, Alexandria).

CIF file:
```
data_PaAgPt2
_cell_length_a 6.7821
_cell_length_b 6.7821
_cell_length_c 6.7821
_cell_angle_alpha 90.00
_cell_angle_beta 90.00
_cell_angle_gamma 90.00
_space_group_name_H-M_alt 'F m -3 m'
_space_group_IT_number 225
_space_group_name_Hall '-F 4 2 3'
loop_
_atom_site_label
_atom_site_type_symbol
_atom_site_fract_x
_atom_site_fract_y
_atom_site_fract_z
Pa1 Pa 0.0000 0.0000 0.0000
Ag1 Ag 0.0000 0.0000 0.5000
Pt1 Pt 0.2500 0.2500 0.2500
```

Summary:
Crystal system   cubic
Distance to the lowest polymorph of the same formula   0.00 eV/f.u.
Energy relative to the elements   -666 meV/atom

---

# PuPaAgPt

A relaxed PuPaAgPt crystal (PBE, Alexandria).

CIF file:
```
data_PuPaAgPt
_cell_length_a 7.1292
_cell_length_b 7.1292
_cell_length_c 7.1292
_cell_angle_alpha 90.00
_cell_angle_beta 90.00
_cell_angle_gamma 90.00
_space_group_name_H-M_alt 'F -4 3 m'
_space_group_IT_number 216
_space_group_name_Hall 'F -4 2 3'
loop_
_atom_site_label
_atom_site_type_symbol
_atom_site_fract_x
_atom_site_fract_y
_atom_site_fract_z
Pu1 Pu 0.0000 0.0000 0.0000
Pa1 Pa 0.0000 0.0000 0.5000
Ag1 Ag 0.2500 0.2500 0.7500
Pt1 Pt 0.2500 0.2500 0.2500
```

Summary:
Crystal system   cubic
Distance to the lowest polymorph of the same formula   0.92 eV/f.u.
Energy relative to the elements   -237 meV/atom

---

# PuPaAgPt

A relaxed PuPaAgPt crystal (PBE, Alexandria).

CIF file:
```
data_PuPaAgPt
_cell_length_a 6.8643
_cell_length_b 6.8643
_cell_length_c 6.8643
_cell_angle_alpha 90.00
_cell_angle_beta 90.00
_cell_angle_gamma 90.00
_space_group_name_H-M_alt 'F -4 3 m'
_space_group_IT_number 216
_space_group_name_Hall 'F -4 2 3'
loop_
_atom_site_label
_atom_site_type_symbol
_atom_site_fract_x
_atom_site_fract_y
_atom_site_fract_z
Pu1 Pu 0.0000 0.0000 0.0000
Pa1 Pa 0.2500 0.2500 0.2500
Ag1 Ag 0.2500 0.2500 0.7500
Pt1 Pt 0.0000 0.0000 0.5000
```

Summary:
Crystal system   cubic
Distance to the lowest polymorph of the same formula   0.00 eV/f.u.
Energy relative to the elements   -467 meV/atom

---

# Pa2Si4AgPt3

A relaxed Pa2Si4AgPt3 crystal (PBE, Alexandria).

CIF file:
```
data_Pa2Si4AgPt3
_cell_length_a 4.2447
_cell_length_b 4.2447
_cell_length_c 9.8441
_cell_angle_alpha 90.00
_cell_angle_beta 90.00
_cell_angle_gamma 90.00
_space_group_name_H-M_alt 'P -4 m 2'
_space_group_IT_number 115
loop_
_space_group_symop_operation_xyz
'x,y,z'
'y,-x,-z'
'-x,-y,z'
'-y,x,-z'
'-x,y,z'
'-y,-x,-z'
'x,-y,z'
'y,x,-z'
loop_
_atom_site_label
_atom_site_type_symbol
_atom_site_fract_x
_atom_site_fract_y
_atom_site_fract_z
Pa1 Pa 0.0000 0.5000 0.2460
Si1 Si 0.0000 0.0000 0.0000
Si2 Si 0.0000 0.5000 0.6391
Si3 Si 0.5000 0.5000 0.0000
Ag1 Ag 0.0000 0.0000 0.5000
Pt1 Pt 0.0000 0.5000 0.8818
Pt2 Pt 0.5000 0.5000 0.5000
```

Summary:
Crystal system   tetragonal
Formation energy (no corrections)   -777 meV/atom

---

# SmPaAgPt

A relaxed SmPaAgPt crystal (PBE, Alexandria).

CIF file:
```
data_SmPaAgPt
_cell_length_a 7.1893
_cell_length_b 7.1893
_cell_length_c 7.1893
_cell_angle_alpha 90.00
_cell_angle_beta 90.00
_cell_angle_gamma 90.00
_space_group_name_H-M_alt 'F -4 3 m'
_space_group_IT_number 216
_space_group_name_Hall 'F -4 2 3'
loop_
_atom_site_label
_atom_site_type_symbol
_atom_site_fract_x
_atom_site_fract_y
_atom_site_fract_z
Sm1 Sm 0.0000 0.0000 0.0000
Pa1 Pa 0.0000 0.0000 0.5000
Ag1 Ag 0.2500 0.2500 0.7500
Pt1 Pt 0.2500 0.2500 0.2500
```

Summary:
Crystal system   cubic
Energy relative to the elements   -364 meV/atom

---

# PaAgSnPt

A relaxed PaAgSnPt crystal (PBE, Alexandria).

CIF file:
```
data_PaAgSnPt
_cell_length_a 6.9594
_cell_length_b 6.9594
_cell_length_c 6.9594
_cell_angle_alpha 90.00
_cell_angle_beta 90.00
_cell_angle_gamma 90.00
_space_group_name_H-M_alt 'F -4 3 m'
_space_group_IT_number 216
_space_group_name_Hall 'F -4 2 3'
loop_
_atom_site_label
_atom_site_type_symbol
_atom_site_fract_x
_atom_site_fract_y
_atom_site_fract_z
Pa1 Pa 0.0000 0.0000 0.0000
Ag1 Ag 0.2500 0.2500 0.2500
Sn1 Sn 0.0000 0.0000 0.5000
Pt1 Pt 0.2500 0.2500 0.7500
```

Summary:
Crystal system   cubic
Energy relative to the elements   -432 meV/atom

---

# TbPaAgPt

A relaxed TbPaAgPt crystal (PBE, Alexandria).

CIF file:
```
data_TbPaAgPt
_cell_length_a 7.1407
_cell_length_b 7.1407
_cell_length_c 7.1407
_cell_angle_alpha 90.00
_cell_angle_beta 90.00
_cell_angle_gamma 90.00
_space_group_name_H-M_alt 'F -4 3 m'
_space_group_IT_number 216
_space_group_name_Hall 'F -4 2 3'
loop_
_atom_site_label
_atom_site_type_symbol
_atom_site_fract_x
_atom_site_fract_y
_atom_site_fract_z
Tb1 Tb 0.0000 0.0000 0.0000
Pa1 Pa 0.0000 0.0000 0.5000
Ag1 Ag 0.2500 0.2500 0.2500
Pt1 Pt 0.2500 0.2500 0.7500
```

Summary:
Crystal system   cubic
Energy relative to the elements   -406 meV/atom